1.
A plane-wave DFT calculation with GGA-PBE was carried out for an optimized crystal structure of AlTlAs2.

Cell: 5.3781 5.3781 6.0200 Å, 90.00 90.00 90.00°
With the nearest neighbours (Å) after each atom.
Space group I4/mmm (No. 139)
Unique sites:
Al (0.0000, 0.0000, 0.0000) x2  2 Tl 3.01, 8 As 3.08
Tl (0.0000, 0.0000, 0.5000) x2  2 Al 3.01, 8 As 3.08
As (0.0000, 0.5000, 0.2500) x4  2 As 3.01, 4 Tl 3.08, 4 Al 3.08

2.
A plane-wave DFT calculation with GGA-PBE was carried out for an optimized crystal structure of Al2TlAs.

Cell: 6.0582 10.6218 3.0844 Å, 90.00 120.51 90.00°
With the nearest neighbours (Å) after each atom.
Space group C2/m (No. 12)
Unique sites:
Al (0.2500, 0.2500, 0.0000) x4  6 Al 3.03-3.08, 2 Tl 3.06, 2 As 3.06
Tl (0.0000, 0.0000, 0.5000) x2  4 As 3.03, 4 Al 3.06, 2 Tl 3.08
As (0.0000, 0.5000, 0.5000) x2  4 Tl 3.03, 4 Al 3.06, 2 As 3.08

3.
A plane-wave DFT calculation with GGA-PBE was carried out for an optimized crystal structure of Al2TlAs.

Cell: 3.7716 3.7716 21.6957 Å, 90.00 90.00 120.00°
With the nearest neighbours (Å) after each atom.
Space group R-3m (No. 166, hexagonal axes)
Unique sites:
Al (0.0000, 0.0000, 0.2337) x6  3 As 2.62
Tl (0.0000, 0.0000, 0.0000) x3  6 Al 3.07
As (0.0000, 0.0000, 0.5000) x3  6 Al 2.62

4.
A plane-wave DFT calculation with GGA-PBE was carried out for an optimized crystal structure of AlTlAs2.

Cell: 3.8074 4.7074 4.8673 Å, 90.00 90.00 90.00°
With the nearest neighbours (Å) after each atom.
Space group Pmmm (No. 47)
Unique sites:
Al (0.0000, 0.0000, 0.0000) x1  4 Tl 3.03, 8 As 3.09-3.39
Tl (0.5000, 0.5000, 0.0000) x1  4 Al 3.03, 8 As 3.09-3.39
As (0.0000, 0.5000, 0.5000) x1  4 As 3.03, 4 Tl 3.09, 4 Al 3.39
As (0.5000, 0.0000, 0.5000) x1  4 As 3.03, 4 Al 3.09, 4 Tl 3.39

Number 1: E -3.542 eV per atom, total magnetic moment 0.000 μB/atom. Number 2: E -3.332 eV per atom, total magnetic moment 0.000 μB/atom. Number 3: E -3.616 eV per atom, total magnetic moment 0.000 μB/atom. Number 4: E -3.511 eV per atom, total magnetic moment 0.000 μB/atom.